The following is a DFT calculation (GGA-PBE) of TiTeN2Cl after structural relaxation.

Structure (extended XYZ):
```
5
Lattice="4.046 0.000 0.000 0.000 4.046 0.000 0.000 0.000 5.060" Properties=species:S:1:pos:R:3 pbc="T T T"
Ti 0.000 0.000 0.000
Te 2.023 2.023 0.000
N 0.000 2.023 2.530
N 2.023 0.000 2.530
Cl 2.023 2.023 2.530
```

Values from the calculation:
Its energy above the lowest structure with this stoichiometry is 1500 meV per atom. For the total DFT energy (no corrections), the calculation gives -4.0283 eV/atom.

The following is a DFT calculation (GGA-PBE) of TlTe2NCl after structural relaxation.

Structure (extended XYZ):
```
5
Lattice="6.669 0.000 0.000 0.000 6.669 0.000 0.000 0.000 3.302" Properties=species:S:1:pos:R:3 pbc="T T T"
Tl 0.000 0.000 0.000
Te 0.000 3.334 1.651
Te 3.334 0.000 1.651
N 3.334 3.334 0.000
Cl 3.334 3.334 1.651
```

Values from the calculation:
Its energy above the lowest structure with this stoichiometry is 0 meV per atom. For the total DFT energy (no corrections), the calculation gives -2.7502 eV/atom.

The following is a DFT calculation (GGA-PBE) of Tl2TeNCl after structural relaxation.

Structure (extended XYZ):
```
5
Lattice="6.320 0.000 0.000 0.000 6.320 0.000 0.000 0.000 3.620" Properties=species:S:1:pos:R:3 pbc="T T T"
Tl 0.000 3.160 0.000
Tl 3.160 0.000 0.000
Te 0.000 0.000 1.810
N 3.160 3.160 1.810
Cl 3.160 3.160 0.000
```

Values from the calculation:
For the total DFT energy (no corrections), the calculation gives -2.9157 eV/atom.

Results for DOS(E_F): 3.461 2.582 2.706 (in states/eV/f.u., following the order of the records).
Results for formation energy (no corrections): 1.878 1.014 0.694 (in eV per atom, following the order of the records).
Results for V: 83 147 145 (in Å³/cell, following the order of the records).